1:
A plane-wave DFT calculation with PBE-GGA was carried out for a relaxed MnSiC3 crystal.

abc: 3.6923 3.6923 3.6923
angles: 90.00 90.00 90.00
With the nearest neighbours (Å) after each atom.
Fractional positions:
Mn (0.0000, 0.0000, 0.0000)  12 C 2.61
Si (0.5000, 0.5000, 0.5000)  6 C 1.85
C (0.0000, 0.5000, 0.5000)  2 Si 1.85
C (0.5000, 0.0000, 0.5000)  2 Si 1.85
C (0.5000, 0.5000, 0.0000)  2 Si 1.85

Computed properties:
- D(E_F): 6.7 states/eV/f.u.

2:
A plane-wave DFT calculation with PBE-GGA was carried out for a relaxed MnSiC3 crystal.

abc: 3.7740 3.7740 3.7740
angles: 90.00 90.00 90.00
With the nearest neighbours (Å) after each atom.
Fractional positions:
Mn (0.0000, 0.0000, 0.0000)  6 C 1.89
Si (0.5000, 0.5000, 0.5000)  12 C 2.67
C (0.0000, 0.0000, 0.5000)  2 Mn 1.89
C (0.0000, 0.5000, 0.0000)  2 Mn 1.89
C (0.5000, 0.0000, 0.0000)  2 Mn 1.89

Computed properties:
- D(E_F): 3.7 states/eV/f.u.

Which is the most stable structure? 2 is the most stable.

1:
A plane-wave DFT calculation with PBE-GGA was carried out for a relaxed MnSn2C2 crystal.

abc: 5.6543 5.6543 4.8392
angles: 90.00 90.00 90.00
With the nearest neighbours (Å) after each atom.
Fractional positions:
Mn (0.0000, 0.0000, 0.0000)  4 C 2.00
Mn (0.5000, 0.5000, 0.0000)  4 C 2.00
Sn (0.1884, 0.3116, 0.5000)  2 C 2.46
Sn (0.3116, 0.8116, 0.5000)  2 C 2.46
Sn (0.6884, 0.1884, 0.5000)  2 C 2.46
Sn (0.8116, 0.6884, 0.5000)  2 C 2.46
C (0.2441, 0.2559, 0.0000)  2 Mn 2.00
C (0.2559, 0.7559, 0.0000)  2 Mn 2.00
C (0.7441, 0.2441, 0.0000)  2 Mn 2.00
C (0.7559, 0.7441, 0.0000)  2 Mn 2.00

Computed properties:
- D(E_F): 2.8 states/eV/f.u.

2:
A plane-wave DFT calculation with PBE-GGA was carried out for a relaxed MnSn2C2 crystal.

abc: 4.7150 4.7150 4.7150
angles: 109.52 109.52 109.37
With the nearest neighbours (Å) after each atom.
Fractional positions:
Mn (0.0000, 0.0000, 0.0000)  2 C 2.06
Sn (0.2500, 0.7500, 0.5000)  2 Sn 2.73, 4 C 2.81, 4 Mn 3.04
Sn (0.7500, 0.2500, 0.5000)  2 Sn 2.73, 4 C 2.81, 4 Mn 3.04
C (0.3774, 0.3774, 0.0000)  1 C 1.34
C (0.6226, 0.6226, 0.0000)  1 C 1.34

Computed properties:
- D(E_F): 2.5 states/eV/f.u.

Which is the most stable structure? 2 is the most stable.

1:
A plane-wave DFT calculation with PBE-GGA was carried out for a relaxed Sr2MnC2 crystal.

abc: 6.1109 6.1109 4.2663
angles: 90.00 90.00 90.00
With the nearest neighbours (Å) after each atom.
Fractional positions:
Sr (0.1581, 0.3419, 0.0000)  2 C 2.56, 1 Sr 2.73
Sr (0.3419, 0.8419, 0.0000)  2 C 2.56, 1 Sr 2.73
Sr (0.6581, 0.1581, 0.0000)  2 C 2.56, 1 Sr 2.73
Sr (0.8419, 0.6581, 0.0000)  2 C 2.56, 1 Sr 2.73
Mn (0.0000, 0.0000, 0.5000)  4 C 2.25
Mn (0.5000, 0.5000, 0.5000)  4 C 2.25
C (0.1786, 0.6786, 0.5000)  2 Mn 2.25
C (0.3214, 0.1786, 0.5000)  2 Mn 2.25
C (0.6786, 0.8214, 0.5000)  2 Mn 2.25
C (0.8214, 0.3214, 0.5000)  2 Mn 2.25

Computed properties:
- D(E_F): 4.1 states/eV/f.u.

2:
A plane-wave DFT calculation with PBE-GGA was carried out for a relaxed Sr2MnC2 crystal.

abc: 4.8846 4.8846 4.8846
angles: 109.28 109.28 109.84
With the nearest neighbours (Å) after each atom.
Fractional positions:
Sr (0.2500, 0.7500, 0.5000)  2 Sr 2.81, 4 C 2.92
Sr (0.7500, 0.2500, 0.5000)  2 Sr 2.81, 4 C 2.92
Mn (0.0000, 0.0000, 0.0000)  2 C 2.12
C (0.3775, 0.3775, 0.0000)  1 C 1.38
C (0.6225, 0.6225, 0.0000)  1 C 1.38

Computed properties:
- D(E_F): 4.8 states/eV/f.u.

Which is the most stable structure? 2 is the most stable.